Record 1
Entry from Alexandria via LeMat-Bulk: a relaxed ZnC crystal (PBE-GGA).

a = 4.495 Å, b = 4.495 Å, c = 6.152 Å
α = 128.53°, β = 128.53°, γ = 33.04°
Fractional positions:
Zn (0.117, 0.117, 0.272)
Zn (0.883, 0.883, 0.728)
C (0.208, 0.208, 0.987)
C (0.792, 0.792, 0.013)

Values from the calculation:
polymorph energy (0 for the lowest one)	0.93	eV/f.u.
N(E_F)	0.40	states/eV/f.u.
space-group type	No. 12
theoretical density	4.99	g cm⁻³
calculated total energy	-4.70	eV per atom



Record 2
Entry from Alexandria via LeMat-Bulk: a relaxed Zn2C crystal (PBE-GGA).

a = 6.079 Å, b = 3.825 Å, c = 10.693 Å
α = 90.00°, β = 90.00°, γ = 90.00°
Fractional positions:
Zn (0.002, 0.250, 0.082)
Zn (0.248, 0.250, 0.750)
Zn (0.252, 0.750, 0.250)
Zn (0.498, 0.750, 0.582)
Zn (0.502, 0.250, 0.418)
Zn (0.748, 0.250, 0.750)
Zn (0.752, 0.750, 0.250)
Zn (0.998, 0.750, 0.918)
C (0.002, 0.750, 0.138)
C (0.498, 0.250, 0.638)
C (0.502, 0.750, 0.362)
C (0.998, 0.250, 0.862)

Values from the calculation:
polymorph energy (0 for the lowest one)	0.00	eV/f.u.
space-group type	No. 62
theoretical density	3.82	g cm⁻³
calculated total energy	-3.30	eV per atom



Record 3
Entry from Alexandria via LeMat-Bulk: a relaxed ZnC7 crystal (PBE-GGA).

a = 4.546 Å, b = 4.546 Å, c = 4.546 Å
α = 60.00°, β = 60.00°, γ = 60.00°
Fractional positions:
Zn (0.000, 0.000, 0.000)
C (0.000, 0.000, 0.500)
C (0.000, 0.500, 0.000)
C (0.000, 0.500, 0.500)
C (0.500, 0.000, 0.000)
C (0.500, 0.000, 0.500)
C (0.500, 0.500, 0.000)
C (0.500, 0.500, 0.500)

Values from the calculation:
N(E_F)	3.50	states/eV/f.u.
space-group type	No. 225
theoretical density	3.74	g cm⁻³
calculated total energy	-4.30	eV per atom



Record 4
Entry from Alexandria via LeMat-Bulk: a relaxed Zn2C crystal (PBE-GGA).

a = 5.811 Å, b = 5.811 Å, c = 3.575 Å
α = 90.00°, β = 90.00°, γ = 120.00°
Fractional positions:
Zn (0.000, 0.280, 0.000)
Zn (0.000, 0.619, 0.500)
Zn (0.280, 0.000, 0.000)
Zn (0.381, 0.381, 0.500)
Zn (0.619, 0.000, 0.500)
Zn (0.720, 0.720, 0.000)
C (0.000, 0.000, 0.500)
C (0.333, 0.667, 0.000)
C (0.667, 0.333, 0.000)

Values from the calculation:
polymorph energy (0 for the lowest one)	0.97	eV/f.u.
N(E_F)	0.48	states/eV/f.u.
space-group type	No. 189
theoretical density	6.81	g cm⁻³
calculated total energy	-2.98	eV per atom



Record 5
Entry from Alexandria via LeMat-Bulk: a relaxed Zn5C crystal (PBE-GGA).

a = 5.371 Å, b = 5.371 Å, c = 7.791 Å
α = 115.59°, β = 115.59°, γ = 28.23°
Fractional positions:
Zn (0.000, 0.000, 0.000)
Zn (0.005, 0.005, 0.621)
Zn (0.471, 0.471, 0.286)
Zn (0.730, 0.730, 0.618)
Zn (0.736, 0.736, 0.249)
C (0.412, 0.412, 0.756)

Values from the calculation:
polymorph energy (0 for the lowest one)	0.00	eV/f.u.
N(E_F)	0.71	states/eV/f.u.
space-group type	No. 8
theoretical density	5.91	g cm⁻³
calculated total energy	-2.07	eV per atom



Record 6
Entry from Alexandria via LeMat-Bulk: a relaxed ZnC crystal (PBE-GGA).

a = 6.339 Å, b = 5.974 Å, c = 4.931 Å
α = 70.34°, β = 62.56°, γ = 47.10°
Fractional positions:
Zn (0.112, 0.112, 0.638)
Zn (0.362, 0.362, 0.888)
Zn (0.638, 0.638, 0.112)
Zn (0.888, 0.888, 0.362)
C (0.036, 0.214, 0.036)
C (0.214, 0.036, 0.214)
C (0.786, 0.964, 0.786)
C (0.964, 0.786, 0.964)

Values from the calculation:
polymorph energy (0 for the lowest one)	1.63	eV/f.u.
N(E_F)	0.54	states/eV/f.u.
space-group type	No. 70
theoretical density	4.24	g cm⁻³
calculated total energy	-4.35	eV per atom



Record 7
Entry from Alexandria via LeMat-Bulk: a relaxed ZnC2 crystal (PBE-GGA).

a = 4.442 Å, b = 4.442 Å, c = 8.558 Å
α = 90.00°, β = 90.00°, γ = 120.00°
Fractional positions:
Zn (0.333, 0.667, 0.103)
Zn (0.333, 0.667, 0.397)
Zn (0.667, 0.333, 0.603)
Zn (0.667, 0.333, 0.897)
C (0.000, 0.000, 0.000)
C (0.000, 0.000, 0.500)
C (0.107, 0.215, 0.250)
C (0.107, 0.893, 0.250)
C (0.215, 0.107, 0.750)
C (0.785, 0.893, 0.250)
C (0.893, 0.107, 0.750)
C (0.893, 0.785, 0.750)

Values from the calculation:
polymorph energy (0 for the lowest one)	5.04	eV/f.u.
N(E_F)	0.42	states/eV/f.u.
space-group type	No. 194
theoretical density	4.06	g cm⁻³
calculated total energy	-4.76	eV per atom



Record 8
Entry from Alexandria via LeMat-Bulk: a relaxed ZnC crystal (PBE-GGA).

a = 3.372 Å, b = 3.372 Å, c = 5.706 Å
α = 90.08°, β = 90.08°, γ = 120.01°
Fractional positions:
Zn (0.002, 0.002, 0.276)
Zn (0.998, 0.998, 0.724)
C (0.666, 0.332, 0.886)
C (0.668, 0.334, 0.114)

Values from the calculation:
polymorph energy (0 for the lowest one)	1.43	eV/f.u.
N(E_F)	0.56	states/eV/f.u.
space-group type	No. 5
theoretical density	4.58	g cm⁻³
calculated total energy	-4.45	eV per atom



Among the records above, which one has the lowest theoretical density?
ZnC7